Entry from the Alexandria database: a geometry-optimized Be2OsW structure (GGA-PBE).

```
Be2OsW
1.0
4.255 -1.466 0.000
4.255 1.466 0.000
-1.732 0.000 4.014
Be Os W
2 1 1
direct
0.240 0.240 0.205
0.760 0.760 0.795
0.500 0.500 0.000
0.000 0.000 0.500
```

- final energy (eV per atom) = -7.750
- energy of formation from the pure elements (meV/atom) = 159

***

Entry from the Alexandria database: a geometry-optimized BeOs2W structure (GGA-PBE).

```
BeOs2W
1.0
1.450 -2.282 0.000
1.450 2.282 0.000
0.000 0.000 8.289
Be Os W
1 2 1
direct
0.000 0.000 0.000
0.500 0.500 0.225
0.500 0.500 0.775
0.000 0.000 0.500
```

- final energy (eV per atom) = -9.545
- energy of formation from the pure elements (meV/atom) = 239

***

Entry from the Alexandria database: a geometry-optimized Be2OsW structure (GGA-PBE).

```
Be2OsW
1.0
1.496 -2.174 0.000
1.496 2.174 0.000
0.000 0.000 7.635
Be Os W
2 1 1
direct
0.000 0.000 0.238
0.000 0.000 0.762
0.500 0.500 0.000
0.500 0.500 0.500
```

- final energy (eV per atom) = -7.685
- energy of formation from the pure elements (meV/atom) = 224

***

Entry from the Alexandria database: a geometry-optimized BeOs2W structure (GGA-PBE).

```
BeOs2W
1.0
-1.831 1.831 4.104
1.831 -1.831 4.104
1.831 1.831 -4.104
Be Os W
1 2 1
direct
0.000 0.000 0.000
0.250 0.750 0.500
0.500 0.500 0.000
0.750 0.250 0.500
```

- final energy (eV per atom) = -9.614
- energy of formation from the pure elements (meV/atom) = 171

***

Entry from the Alexandria database: a geometry-optimized BeOs2W structure (GGA-PBE).

```
BeOs2W
1.0
2.763 0.000 0.000
0.000 2.763 0.000
0.000 0.000 6.941
Be Os W
1 2 1
direct
0.000 0.000 0.000
0.000 0.000 0.463
0.500 0.500 0.201
0.500 0.500 0.763
```

- final energy (eV per atom) = -9.740
- energy of formation from the pure elements (meV/atom) = 45

***

Entry from the Alexandria database: a geometry-optimized BeOsW structure (GGA-PBE).

```
BeOsW
1.0
-1.487 1.487 4.393
1.487 -1.487 4.393
1.487 1.487 -4.393
Be Os W
1 1 1
direct
0.000 0.000 0.000
0.362 0.362 0.000
0.676 0.676 0.000
```

- final energy (eV per atom) = -9.359
- distance to the lowest polymorph of the same formula (meV per atom) = 180
- energy of formation from the pure elements (meV/atom) = -56

***

Entry from the Alexandria database: a geometry-optimized Be2OsW structure (GGA-PBE).

```
Be2OsW
1.0
3.565 0.000 0.000
0.000 1.448 4.409
0.000 -1.448 4.409
Be Os W
2 1 1
direct
0.000 0.000 0.000
0.500 0.126 0.126
0.000 0.719 0.719
0.500 0.399 0.399
```

- final energy (eV per atom) = -8.045
- energy of formation from the pure elements (meV/atom) = -137

***

Entry from the Alexandria database: a geometry-optimized Be2OsW structure (GGA-PBE).

```
Be2OsW
1.0
1.359 0.785 7.864
-1.359 0.785 7.864
0.000 -1.569 7.864
Be Os W
2 1 1
direct
0.245 0.245 0.245
0.755 0.755 0.755
0.500 0.500 0.500
0.000 0.000 0.000
```

- final energy (eV per atom) = -7.651
- energy of formation from the pure elements (meV/atom) = 258